RbSn3Bi: optimized geometry, PBE.

Cell lengths 5.989, 5.989, 5.989 Å; angles 90.00, 90.00, 90.00 degrees
Space group Pm-3m (No. 221)
One atom of each set of equivalent atoms:
Rb  0.000  0.000  0.000 x1
Sn  0.000  0.000  0.500 x3
Bi  0.500  0.500  0.500 x1

Calculated values
As for the energy of formation from the pure elements: 6.34 eV per formula unit. As for the energy above the lowest structure with this stoichiometry: 1407 meV per atom. The total moment is 0.00 Bohr magnetons per cell.